Entry from Alexandria via LeMat-Bulk: Mg2SiO4 at its PBEsol-relaxed geometry (SCAN).

```
28
Lattice="-2.858 5.738 4.137 2.858 -5.738 4.137 2.858 5.738 -4.137" Properties=species:S:1:pos:R:3 pbc="T T T"
Mg 0.000 0.000 0.000
Mg 1.429 4.278 -2.069
Mg 1.429 -1.460 2.069
Mg 0.000 2.869 0.244
Mg 0.000 5.738 0.000
Mg 2.858 2.869 3.893
Mg -1.429 7.198 2.069
Mg 1.429 7.198 2.069
Si 2.858 1.372 0.966
Si 2.858 4.366 0.966
Si 0.000 1.372 3.172
Si 0.000 4.366 3.172
O 2.858 -2.869 2.340
O 1.488 1.408 0.056
O 4.227 1.408 0.056
O 2.858 0.109 2.029
O 0.000 0.109 2.108
O 1.488 4.330 0.056
O 1.370 -1.408 4.194
O 2.858 2.869 1.798
O 0.000 2.869 2.340
O 1.488 7.146 -0.056
O 1.370 1.408 4.081
O 2.858 5.629 2.029
O 0.000 5.629 2.108
O -1.370 4.330 4.081
O 1.370 4.330 4.081
O 0.000 8.607 1.797
```

- energy above the most stable polymorph in this dataset (meV per atom) = 35.3
- E (eV per atom) = -9.49
- spin magnetization (μB/cell) = 0.1



Entry from Alexandria via LeMat-Bulk: Mg2SiO4 at its PBEsol-relaxed geometry (SCAN).

```
14
Lattice="-3.478 3.478 3.186 3.478 -3.478 3.186 3.478 3.478 -3.186" Properties=species:S:1:pos:R:3 pbc="T T T"
Mg 5.216 1.365 -0.796
Mg 1.365 1.739 0.796
Mg -1.739 2.112 2.389
Mg 2.112 1.739 3.982
Si 3.478 0.000 1.593
Si 0.000 0.000 3.186
O 2.071 -0.170 0.754
O 4.884 0.170 0.754
O 3.307 2.071 -0.839
O 3.648 -1.406 2.432
O 0.170 1.406 2.347
O 3.307 1.406 2.432
O 1.406 -0.170 4.025
O 2.071 3.648 0.839
```

- energy above the most stable polymorph in this dataset (meV per atom) = 60.2
- E (eV per atom) = -9.47
- spin magnetization (μB/cell) = 0.0



Entry from Alexandria via LeMat-Bulk: Mg2SiO4 at its PBEsol-relaxed geometry (SCAN).

```
14
Lattice="5.949 0.000 0.000 -2.974 5.152 0.000 0.000 0.000 4.798" Properties=species:S:1:pos:R:3 pbc="T T T"
Mg 0.000 0.000 0.000
Mg -1.487 2.576 2.399
Mg 2.974 0.000 2.399
Mg 1.487 2.576 2.399
Si 0.000 3.435 4.454
Si 2.974 1.717 0.345
O 0.000 1.934 3.729
O -1.299 4.185 3.729
O 0.000 3.435 1.281
O 1.675 0.967 1.069
O 1.299 4.185 3.729
O 2.974 1.717 3.517
O 4.274 0.967 1.069
O 2.974 3.218 1.069
```

- energy above the most stable polymorph in this dataset (meV per atom) = 66.7
- E (eV per atom) = -9.46
- spin magnetization (μB/cell) = 0.0



Entry from Alexandria via LeMat-Bulk: Mg2SiO4 at its PBEsol-relaxed geometry (SCAN).

```
14
Lattice="0.000 4.043 4.043 4.043 0.000 4.043 4.043 4.043 0.000" Properties=species:S:1:pos:R:3 pbc="T T T"
Mg 0.000 0.000 0.000
Mg 2.022 2.022 0.000
Mg 2.022 0.000 2.022
Mg 0.000 2.022 2.022
Si 3.032 3.032 3.032
Si 5.054 5.054 5.054
O 2.067 2.067 2.067
O 3.998 3.998 2.067
O 3.998 2.067 3.998
O 6.020 4.088 4.088
O 2.067 3.998 3.998
O 4.088 6.020 4.088
O 4.088 4.088 6.020
O 6.020 6.020 6.020
```

- energy above the most stable polymorph in this dataset (meV per atom) = 51.8
- E (eV per atom) = -9.47
- spin magnetization (μB/cell) = 0.0



Entry from Alexandria via LeMat-Bulk: MgVSi2O6 at its PBEsol-relaxed geometry (SCAN).

```
20
Lattice="5.038 -4.433 0.000 5.038 4.433 0.000 -2.045 0.000 4.951" Properties=species:S:1:pos:R:3 pbc="T T T"
Mg 3.505 2.323 3.713
Mg 4.527 -2.323 1.238
V 4.527 0.833 1.238
V 3.505 -0.833 3.713
Si 0.654 0.784 3.464
Si 1.676 -0.784 0.989
Si 6.356 0.784 3.962
Si 7.379 -0.784 1.487
O 0.760 0.288 1.866
O 3.133 2.274 1.708
O -0.263 -0.288 4.341
O 2.149 0.836 4.109
O 5.921 2.274 0.768
O 3.172 -0.836 1.633
O 4.861 0.836 3.317
O 2.111 -2.274 4.183
O 5.883 -0.836 0.842
O 8.295 0.288 0.610
O 4.899 -2.274 3.243
O 7.272 -0.288 3.085
```

- E (eV per atom) = -10.89
- spin magnetization (μB/cell) = 6.0



Entry from Alexandria via LeMat-Bulk: Mg3Sn2O7 at its PBEsol-relaxed geometry (SCAN).

```
24
Lattice="9.214 -2.664 0.000 9.214 2.664 0.000 0.000 0.000 5.437" Properties=species:S:1:pos:R:3 pbc="T T T"
Mg 5.528 1.271 2.185
Mg 9.214 1.397 2.719
Mg 12.901 1.271 2.185
Mg 5.528 -1.271 4.903
Mg 9.214 -1.397 0.000
Mg 12.901 -1.271 4.903
Sn 7.268 1.311 5.230
Sn 11.161 1.311 5.230
Sn 7.268 -1.311 2.511
Sn 11.161 -1.311 2.511
O 2.548 0.350 0.836
O 9.214 2.008 4.744
O 5.388 0.618 0.204
O 2.548 -0.350 3.554
O 7.795 0.486 1.625
O 5.388 -0.618 2.922
O 10.634 0.486 1.625
O 7.795 -0.486 4.343
O 13.041 0.618 0.204
O 10.634 -0.486 4.343
O 15.881 0.350 0.836
O 13.041 -0.618 2.922
O 9.214 -2.008 2.025
O 15.881 -0.350 3.554
```

- E (eV per atom) = -13.22
- spin magnetization (μB/cell) = 0.0



Entry from Alexandria via LeMat-Bulk: Mg2Sn3O8 at its PBEsol-relaxed geometry (SCAN).

```
13
Lattice="5.027 -3.072 0.000 5.027 3.072 0.000 -0.998 0.000 5.274" Properties=species:S:1:pos:R:3 pbc="T T T"
Mg 1.981 0.000 0.418
Mg 7.075 0.000 4.856
Sn 4.528 1.583 2.637
Sn 5.027 0.000 0.000
Sn 4.528 -1.583 2.637
O 0.698 0.000 1.942
O 3.638 1.394 0.716
O 3.328 0.000 3.343
O 5.417 1.394 4.557
O 3.638 -1.394 0.716
O 5.728 0.000 1.931
O 5.417 -1.394 4.557
O 8.357 0.000 3.331
```

- energy above the most stable polymorph in this dataset (meV per atom) = 23.9
- E (eV per atom) = -14.98
- spin magnetization (μB/cell) = 0.0



Entry from Alexandria via LeMat-Bulk: Mg3SnO at its PBEsol-relaxed geometry (SCAN).

```
5
Lattice="5.152 0.000 0.000 0.000 5.152 0.000 0.000 0.000 5.152" Properties=species:S:1:pos:R:3 pbc="T T T"
Mg 0.000 0.000 2.576
Mg 0.000 2.576 0.000
Mg 2.576 0.000 0.000
Sn 0.000 0.000 0.000
O 2.576 2.576 2.576
```

- E (eV per atom) = -11.02
- spin magnetization (μB/cell) = 0.0



Entry from Alexandria via LeMat-Bulk: MgSnO2 at its PBEsol-relaxed geometry (SCAN).

```
4
Lattice="1.564 0.903 6.149 -1.564 0.903 6.149 0.000 -1.806 6.149" Properties=species:S:1:pos:R:3 pbc="T T T"
Mg 0.000 0.000 0.000
Sn 0.000 0.000 9.224
O 0.000 0.000 7.210
O 0.000 0.000 11.238
```

- E (eV per atom) = -15.23
- spin magnetization (μB/cell) = 0.0



Entry from Alexandria via LeMat-Bulk: Mg2Sn3O8 at its PBEsol-relaxed geometry (SCAN).

```
26
Lattice="6.269 0.000 0.000 -3.134 5.429 0.000 0.000 0.000 9.323" Properties=species:S:1:pos:R:3 pbc="T T T"
Mg 0.000 3.619 0.000
Mg 0.000 3.619 3.449
Mg 3.134 1.810 4.661
Mg 3.134 1.810 8.110
Sn 0.000 1.786 6.114
Sn -1.588 4.536 6.114
Sn 1.547 0.893 1.453
Sn 1.588 4.536 6.114
Sn 4.722 0.893 1.453
Sn 3.134 3.643 1.453
O 0.000 0.000 0.375
O 0.000 0.000 5.036
O -1.391 2.816 4.919
O 0.000 1.848 2.400
O -1.534 4.505 2.400
O 0.000 3.619 7.247
O 1.600 0.924 7.061
O 1.391 2.816 4.919
O 0.000 5.226 4.919
O 3.134 0.203 0.258
O 1.743 2.613 0.258
O 1.534 4.505 2.400
O 3.134 1.810 2.586
O 4.669 0.924 7.061
O 3.134 3.581 7.061
O 4.526 2.613 0.258
```

- energy above the most stable polymorph in this dataset (meV per atom) = 0.0
- E (eV per atom) = -15.01
- spin magnetization (μB/cell) = 0.0



Entry from Alexandria via LeMat-Bulk: Mg2Ta2SnO8 at its PBEsol-relaxed geometry (SCAN).

```
26
Lattice="10.316 -2.994 0.000 10.316 2.994 0.000 -0.178 0.000 5.261" Properties=species:S:1:pos:R:3 pbc="T T T"
Mg 4.692 0.850 1.282
Mg 4.603 -0.850 3.912
Mg 15.850 0.850 1.349
Mg 15.761 -0.850 3.980
Ta 7.649 0.999 1.412
Ta 12.893 0.999 1.219
Ta 7.560 -0.999 4.043
Ta 12.804 -0.999 3.849
Sn 10.182 1.865 3.946
Sn 10.271 -1.865 1.315
O 8.820 2.287 2.017
O 3.895 0.876 4.616
O 11.722 2.287 0.614
O 6.277 0.645 2.906
O 8.419 0.514 5.056
O 3.984 -0.876 1.985
O 6.366 -0.645 0.276
O 11.945 0.514 2.836
O 8.508 -0.514 2.426
O 14.087 0.645 4.985
O 16.469 0.876 3.276
O 12.034 -0.514 0.205
O 14.176 -0.645 2.355
O 8.731 -2.287 4.648
O 16.558 -0.876 0.645
O 11.633 -2.287 3.244
```

- E (eV per atom) = -20.35
- spin magnetization (μB/cell) = 0.0



Entry from Alexandria via LeMat-Bulk: Mg30ZnSnO32 at its PBEsol-relaxed geometry (SCAN).

```
64
Lattice="8.532 0.000 0.000 0.000 8.532 0.000 0.000 0.000 8.504" Properties=species:S:1:pos:R:3 pbc="T T T"
Mg 0.000 0.000 0.000
Mg 0.000 0.000 4.252
Mg 0.000 2.129 2.121
Mg 0.000 2.129 6.384
Mg 0.000 4.266 0.000
Mg 0.000 4.266 4.252
Mg 0.000 6.403 2.121
Mg 0.000 6.403 6.384
Mg 2.092 4.266 2.087
Mg 2.092 4.266 6.417
Mg 2.097 2.097 4.252
Mg 2.097 6.435 4.252
Mg 2.129 0.000 2.121
Mg 2.129 0.000 6.384
Mg 2.132 2.132 0.000
Mg 2.132 6.401 0.000
Mg 4.266 0.000 0.000
Mg 4.266 0.000 4.252
Mg 4.266 2.092 2.087
Mg 4.266 2.092 6.417
Mg 4.266 6.440 2.087
Mg 4.266 6.440 6.417
Mg 6.403 0.000 2.121
Mg 6.403 0.000 6.384
Mg 6.401 2.132 0.000
Mg 6.401 6.401 0.000
Mg 6.435 2.097 4.252
Mg 6.435 6.435 4.252
Mg 6.440 4.266 2.087
Mg 6.440 4.266 6.417
Zn 4.266 4.266 0.000
Sn 4.266 4.266 4.252
O 0.000 0.000 2.121
O 0.000 0.000 6.383
O 0.000 2.106 4.252
O 0.000 2.121 0.000
O 0.000 4.266 2.107
O 0.000 4.266 6.397
O 0.000 6.411 0.000
O 0.000 6.426 4.252
O 1.969 4.266 4.252
O 2.062 4.266 0.000
O 2.106 0.000 4.252
O 2.121 0.000 0.000
O 2.138 2.138 2.128
O 2.138 2.138 6.376
O 2.138 6.394 2.128
O 2.138 6.394 6.376
O 4.266 0.000 2.107
O 4.266 0.000 6.397
O 4.266 1.969 4.252
O 4.266 2.062 0.000
O 4.266 4.266 1.961
O 4.266 4.266 6.543
O 4.266 6.470 0.000
O 4.266 6.563 4.252
O 6.394 2.138 2.128
O 6.394 2.138 6.376
O 6.394 6.394 2.128
O 6.394 6.394 6.376
O 6.411 0.000 0.000
O 6.426 0.000 4.252
O 6.470 4.266 0.000
O 6.563 4.266 4.252
```

- E (eV per atom) = -9.07
- spin magnetization (μB/cell) = 0.0



Entry from Alexandria via LeMat-Bulk: SrMg3O4 at its PBEsol-relaxed geometry (SCAN).

```
8
Lattice="3.264 0.000 0.000 0.000 3.264 0.000 0.000 0.000 8.885" Properties=species:S:1:pos:R:3 pbc="T T T"
Sr 0.000 0.000 0.000
Mg 0.000 0.000 4.443
Mg 1.632 1.632 2.414
Mg 1.632 1.632 6.471
O 0.000 0.000 2.440
O 0.000 0.000 6.445
O 1.632 1.632 0.000
O 1.632 1.632 4.443
```

- E (eV per atom) = -10.49
- spin magnetization (μB/cell) = 0.0



Entry from Alexandria via LeMat-Bulk: Sr3MgO4 at its PBEsol-relaxed geometry (SCAN).

```
8
Lattice="3.465 0.000 0.000 0.000 5.010 0.000 0.000 0.000 7.024" Properties=species:S:1:pos:R:3 pbc="T T T"
Sr 0.000 0.000 0.000
Sr 1.732 2.505 1.831
Sr 1.732 2.505 5.193
Mg 0.000 0.000 3.512
O 0.000 2.505 0.000
O 0.000 2.505 3.512
O 1.732 0.000 1.970
O 1.732 0.000 5.053
```

- E (eV per atom) = -14.91
- spin magnetization (μB/cell) = 0.0